# 1
Material: HfZrGaOs2
Method: DFT, PBE
State: optimized geometry Values from VASP.

```
&SYSTEM
  ibrav = 0, nat = 5, ntyp = 4
/
ATOMIC_SPECIES
Zr 91.22 Zr.upf
Hf 178.49 Hf.upf
Ga 69.72 Ga.upf
Os 190.23 Os.upf
CELL_PARAMETERS angstrom
-2.541 4.061 0.534
-1.127 -0.046 -5.018
-3.958 -2.596 0.912
ATOMIC_POSITIONS crystal
Zr 0.000 0.000 0.000
Hf 0.000 0.500 0.000
Ga 0.500 0.500 0.500
Os 0.500 0.000 0.000
Os 0.000 0.000 0.500
```

Results
theoretical density	10.00	Mg/m³
formation energy	1.857	eV/atom
V	120	Å³/f.u.
electronic total energy	-6.94	eV/atom
spin magnetization	0.9	μB/f.u.


# 2
Material: Hf3GaP
Method: DFT, PBE
State: optimized geometry Values from VASP.

```
&SYSTEM
  ibrav = 0, nat = 20, ntyp = 3
/
ATOMIC_SPECIES
P 30.97 P.upf
Ga 69.72 Ga.upf
Hf 178.49 Hf.upf
CELL_PARAMETERS angstrom
5.414 0.000 0.000
0.000 8.946 -0.414
0.000 -3.284 8.325
ATOMIC_POSITIONS crystal
P 0.250 0.903 0.597
Ga 0.250 0.433 0.567
Hf 0.500 0.750 0.750
Hf 0.250 0.571 0.930
Hf 0.750 0.867 0.134
Hf 0.750 0.429 0.070
Ga 0.750 0.067 0.933
P 0.750 0.097 0.403
P 0.250 0.403 0.097
Hf 0.000 0.750 0.750
Ga 0.750 0.567 0.433
Hf 0.750 0.929 0.570
Hf 0.250 0.071 0.430
Hf 0.750 0.367 0.634
Hf 0.250 0.133 0.866
Hf 0.000 0.250 0.250
Hf 0.500 0.250 0.250
P 0.750 0.597 0.903
Ga 0.250 0.933 0.067
Hf 0.250 0.633 0.366
```

Results
theoretical density	10.67	Mg/m³
formation energy	-0.636	eV/atom
V	99	Å³/f.u.
electronic total energy	-8.30	eV/atom
spin magnetization	0.0	μB/f.u.
energy relative to the lowest polymorph listed for this composition	0	meV per atom


# 3
Material: Hf5Ga2P
Method: DFT, PBE
State: optimized geometry Values from VASP.

```
&SYSTEM
  ibrav = 0, nat = 8, ntyp = 3
/
ATOMIC_SPECIES
Hf 178.49 Hf.upf
P 30.97 P.upf
Ga 69.72 Ga.upf
CELL_PARAMETERS angstrom
7.680 0.001 -0.002
0.001 6.331 0.128
-3.841 -3.103 3.026
ATOMIC_POSITIONS crystal
Hf 0.222 0.222 0.944
Hf 0.722 0.722 0.445
P 0.222 0.222 0.444
Hf 0.722 0.722 0.945
Hf 0.222 0.722 0.944
Hf 0.722 0.222 0.944
Ga 0.722 0.222 0.445
Ga 0.222 0.722 0.444
```

Results
theoretical density	11.76	Mg/m³
formation energy	-0.326	eV/atom
V	150	Å³/f.u.
electronic total energy	-7.98	eV/atom
spin magnetization	0.0	μB/f.u.


# 4
Material: Hf3GaP
Method: DFT, PBE
State: optimized geometry Values from VASP.

```
&SYSTEM
  ibrav = 0, nat = 5, ntyp = 3
/
ATOMIC_SPECIES
Ga 69.72 Ga.upf
Hf 178.49 Hf.upf
P 30.97 P.upf
CELL_PARAMETERS angstrom
-1.190 3.967 2.392
-3.288 -2.463 2.449
3.263 -1.035 3.340
ATOMIC_POSITIONS crystal
Ga 0.500 0.500 0.500
Hf 0.000 0.500 0.000
P 0.000 0.000 0.000
Hf 0.000 0.000 0.500
Hf 0.500 0.000 0.000
```

Results
theoretical density	9.66	Mg/m³
formation energy	-0.166	eV/atom
V	109	Å³/f.u.
electronic total energy	-7.83	eV/atom
spin magnetization	0.0	μB/f.u.
energy relative to the lowest polymorph listed for this composition	470	meV per atom


# 5
Material: Hf4GaP
Method: DFT, PBE
State: optimized geometry Values from VASP.

```
&SYSTEM
  ibrav = 0, nat = 12, ntyp = 3
/
ATOMIC_SPECIES
Ga 69.72 Ga.upf
Hf 178.49 Hf.upf
P 30.97 P.upf
CELL_PARAMETERS angstrom
6.270 0.000 -0.078
0.000 6.358 0.000
-0.171 0.000 6.301
ATOMIC_POSITIONS crystal
Ga 0.000 0.000 0.000
Hf 0.156 0.852 0.632
Hf 0.656 0.648 0.632
Ga 0.500 0.500 0.000
P 0.000 0.500 0.500
Hf 0.844 0.148 0.368
Hf 0.375 0.858 0.153
Hf 0.125 0.358 0.847
Hf 0.875 0.642 0.153
P 0.500 0.000 0.500
Hf 0.625 0.142 0.847
Hf 0.344 0.352 0.368
```

Results
theoretical density	10.78	Mg/m³
formation energy	-0.340	eV/atom
V	126	Å³/f.u.
electronic total energy	-8.38	eV/atom
spin magnetization	0.0	μB/f.u.
energy relative to the lowest polymorph listed for this composition	378	meV per atom


# 6
Material: Hf6GaP2
Method: DFT, PBE
State: optimized geometry Values from VASP.

```
&SYSTEM
  ibrav = 0, nat = 9, ntyp = 3
/
ATOMIC_SPECIES
Ga 69.72 Ga.upf
Hf 178.49 Hf.upf
P 30.97 P.upf
CELL_PARAMETERS angstrom
-2.065 -2.287 -4.097
-1.943 -5.286 0.722
-7.004 1.371 -0.444
ATOMIC_POSITIONS crystal
Ga 0.000 0.500 0.500
Hf 0.623 0.198 0.555
P 0.286 0.609 0.819
P 0.714 0.391 0.181
Hf 0.320 0.243 0.117
Hf 0.985 0.849 0.181
Hf 0.377 0.802 0.445
Hf 0.680 0.757 0.883
Hf 0.015 0.151 0.819
```

Results
theoretical density	11.52	Mg/m³
formation energy	-0.539	eV/atom
V	173	Å³/f.u.
electronic total energy	-8.71	eV/atom
spin magnetization	0.0	μB/f.u.


# 7
Material: Hf6GaP
Method: DFT, PBE
State: optimized geometry Values from VASP.

```
&SYSTEM
  ibrav = 0, nat = 8, ntyp = 3
/
ATOMIC_SPECIES
Hf 178.49 Hf.upf
P 30.97 P.upf
Ga 69.72 Ga.upf
CELL_PARAMETERS angstrom
5.814 -0.130 -0.233
-2.284 5.348 -0.233
-0.877 -1.297 5.833
ATOMIC_POSITIONS crystal
Hf 0.870 0.487 0.758
Hf 0.513 0.130 0.242
P 0.500 0.500 0.500
Hf 0.487 0.870 0.758
Hf 0.767 0.767 0.289
Hf 0.130 0.513 0.242
Hf 0.233 0.233 0.711
Ga 0.000 0.000 0.000
```

Results
theoretical density	11.05	Mg/m³
formation energy	-0.112	eV/atom
V	176	Å³/f.u.
electronic total energy	-8.63	eV/atom
spin magnetization	0.0	μB/f.u.


# 8
Material: HfGaP3
Method: DFT, PBE
State: optimized geometry Values from VASP.

```
&SYSTEM
  ibrav = 0, nat = 5, ntyp = 3
/
ATOMIC_SPECIES
Ga 69.72 Ga.upf
P 30.97 P.upf
Hf 178.49 Hf.upf
CELL_PARAMETERS angstrom
4.998 0.000 0.000
0.000 4.998 0.000
0.000 0.000 4.998
ATOMIC_POSITIONS crystal
Ga 0.500 0.500 0.500
P 0.000 0.000 0.500
P 0.500 0.000 0.000
Hf 0.000 0.000 0.000
P 0.000 0.500 0.000
```

Results
theoretical density	4.54	Mg/m³
formation energy	0.297	eV/atom
V	125	Å³/f.u.
electronic total energy	-5.55	eV/atom
spin magnetization	0.0	μB/f.u.
energy relative to the lowest polymorph listed for this composition	0	meV per atom


# 9
Material: Hf4GaP
Method: DFT, PBE
State: optimized geometry Values from VASP.

```
&SYSTEM
  ibrav = 0, nat = 12, ntyp = 3
/
ATOMIC_SPECIES
Hf 178.49 Hf.upf
P 30.97 P.upf
Ga 69.72 Ga.upf
CELL_PARAMETERS angstrom
-0.636 -3.020 4.254
-5.095 -2.947 -2.854
4.025 -4.469 -2.571
ATOMIC_POSITIONS crystal
Hf 0.000 0.650 0.837
Hf 0.000 0.163 0.650
Hf 0.000 0.837 0.350
Hf 0.500 0.163 0.350
Hf 0.000 0.350 0.163
Hf 0.500 0.650 0.163
Hf 0.500 0.837 0.650
P 0.250 0.500 0.500
Hf 0.500 0.350 0.837
P 0.750 0.500 0.500
Ga 0.750 0.000 0.000
Ga 0.250 0.000 0.000
```

Results
theoretical density	12.03	Mg/m³
formation energy	-0.718	eV/atom
V	112	Å³/f.u.
electronic total energy	-8.76	eV/atom
spin magnetization	0.0	μB/f.u.
energy relative to the lowest polymorph listed for this composition	0	meV per atom


# 10
Material: Hf3Ga2P
Method: DFT, PBE
State: optimized geometry Values from VASP.

```
&SYSTEM
  ibrav = 0, nat = 12, ntyp = 3
/
ATOMIC_SPECIES
Hf 178.49 Hf.upf
Ga 69.72 Ga.upf
P 30.97 P.upf
CELL_PARAMETERS angstrom
-2.601 -3.448 -3.190
3.180 -5.303 3.140
-4.124 2.715 4.946
ATOMIC_POSITIONS crystal
Hf 0.500 0.250 0.000
Hf 0.150 0.075 0.301
Ga 0.328 0.914 0.655
P 0.000 0.250 0.000
Ga 0.327 0.414 0.655
Hf 0.500 0.750 0.000
P 0.000 0.750 0.000
Hf 0.151 0.575 0.301
Hf 0.850 0.925 0.699
Ga 0.673 0.586 0.345
Ga 0.672 0.086 0.345
Hf 0.849 0.425 0.699
```

Results
theoretical density	10.13	Mg/m³
formation energy	-0.601	eV/atom
V	116	Å³/f.u.
electronic total energy	-7.49	eV/atom
spin magnetization	0.0	μB/f.u.


# 11
Material: HfGaP3
Method: DFT, PBE
State: optimized geometry Values from VASP.

```
&SYSTEM
  ibrav = 0, nat = 5, ntyp = 3
/
ATOMIC_SPECIES
P 30.97 P.upf
Ga 69.72 Ga.upf
Hf 178.49 Hf.upf
CELL_PARAMETERS angstrom
4.595 0.000 0.000
0.000 4.595 0.000
0.000 0.000 4.595
ATOMIC_POSITIONS crystal
P 0.500 0.000 0.000
Ga 0.000 0.000 0.000
P 0.000 0.000 0.500
P 0.000 0.500 0.000
Hf 0.500 0.500 0.500
```

Results
theoretical density	5.84	Mg/m³
formation energy	0.678	eV/atom
V	97	Å³/f.u.
electronic total energy	-5.16	eV/atom
spin magnetization	0.0	μB/f.u.
energy relative to the lowest polymorph listed for this composition	381	meV per atom


# 12
Material: Hf8GaP2
Method: DFT, PBE
State: optimized geometry Values from VASP.

```
&SYSTEM
  ibrav = 0, nat = 11, ntyp = 3
/
ATOMIC_SPECIES
P 30.97 P.upf
Ga 69.72 Ga.upf
Hf 178.49 Hf.upf
CELL_PARAMETERS angstrom
4.929 -0.071 -0.107
-0.915 7.009 -0.032
-0.915 -2.730 6.456
ATOMIC_POSITIONS crystal
P 0.000 0.314 0.686
Ga 0.500 0.000 0.000
Hf 0.085 0.328 0.076
Hf 0.915 0.672 0.924
Hf 0.682 0.386 0.386
Hf 0.915 0.924 0.672
Hf 0.500 0.754 0.246
P 0.000 0.686 0.314
Hf 0.500 0.246 0.754
Hf 0.318 0.614 0.614
Hf 0.085 0.076 0.328
```

Results
theoretical density	11.70	Mg/m³
formation energy	-0.480	eV/atom
V	221	Å³/f.u.
electronic total energy	-8.98	eV/atom
spin magnetization	0.0	μB/f.u.


Q: Number 4 is which compound?
A: Hf3GaP